1.
A plane-wave DFT calculation with PBE was carried out for a relaxed structure of CeHo2ThN4.

Calculated values
E_form (uncorrected), eV per atom: -1.626
Crystal system: monoclinic
ρ, Mg/m³: 10.034
M_tot, μB/cell: 0.4
Electronic total energy, eV per formula unit: -68.8

abc: 3.5410 6.1284 6.1310
angles: 109.45 90.00 90.00
With the nearest neighbours (Å) after each atom.
Fractional coordinates of all 8 atoms:
Th 0.5000 0.5000 0.0000  6 N 2.52
Ho 0.5000 0.0000 0.5000  6 N 2.48
Ho 0.0000 0.5000 0.5000  6 N 2.48-2.49
N 0.0000 0.7522 0.2563  3 Ho 2.48, 1 Ce 2.52, 2 Th 2.52
Ce 0.0000 0.0000 0.0000  6 N 2.52
N 0.0000 0.2478 0.7437  3 Ho 2.48, 1 Ce 2.52, 2 Th 2.52
N 0.5000 0.2518 0.2554  3 Ho 2.48-2.49, 1 Th 2.52, 2 Ce 2.52
N 0.5000 0.7482 0.7446  3 Ho 2.48-2.49, 1 Th 2.52, 2 Ce 2.52

***

2.
A plane-wave DFT calculation with PBE was carried out for a relaxed structure of CeHo3Th2N6.

Calculated values
E_form (uncorrected), eV per atom: -1.629
Crystal system: monoclinic
ρ, Mg/m³: 10.379
M_tot, μB/cell: 0.1
Electronic total energy, eV per formula unit: -104.0

abc: 3.5481 7.0852 7.9356
angles: 102.91 102.92 90.00
With the nearest neighbours (Å) after each atom.
Fractional coordinates of all 12 atoms:
Ho 0.8351 0.1663 0.6702  6 N 2.47-2.52
N 0.0011 0.7476 0.0023  3 Ho 2.47-2.49, 1 Th 2.51, 2 Ce 2.52
Ho 0.5000 0.5000 0.0000  6 N 2.48-2.49
N 0.3351 0.4131 0.6701  3 Ho 2.48-2.49, 3 Th 2.54-2.56
Ho 0.1649 0.8337 0.3298  6 N 2.47-2.52
Th 0.8346 0.6694 0.6693  6 N 2.51-2.56
Th 0.1654 0.3306 0.3307  6 N 2.51-2.56
N 0.9989 0.2524 0.9977  3 Ho 2.47-2.49, 1 Th 2.51, 2 Ce 2.52
N 0.6649 0.5869 0.3299  3 Ho 2.48-2.49, 3 Th 2.54-2.56
Ce 0.5000 0.0000 0.0000  6 N 2.52-2.53
N 0.3322 0.9207 0.6644  3 Ho 2.48-2.52, 2 Th 2.52, 1 Ce 2.53
N 0.6678 0.0793 0.3356  3 Ho 2.48-2.52, 2 Th 2.52, 1 Ce 2.53

***

3.
A plane-wave DFT calculation with PBE was carried out for a relaxed structure of CeHoTiN3.

Calculated values
E_form (uncorrected), eV per atom: -1.319
Crystal system: monoclinic
ρ, Mg/m³: 6.801
M_tot, μB/cell: 1.4
Electronic total energy, eV per formula unit: -51.3

abc: 3.3863 7.1979 7.9240
angles: 93.15 90.00 90.00
With the nearest neighbours (Å) after each atom.
Fractional coordinates of all 12 atoms:
N 0.7500 0.3850 0.1312  3 Ho 2.21-2.41, 2 Ce 2.42
N 0.7500 0.1598 0.4577  3 Ti 1.99-2.03
Ce 0.7500 0.8488 0.8267  5 N 2.42-2.68
N 0.7500 0.8618 0.1656  1 Ti 1.99
Ho 0.2500 0.6244 0.1476  5 N 2.21-2.41
N 0.2500 0.8402 0.5423  3 Ti 1.99-2.03
Ti 0.2500 0.1214 0.5832  4 N 1.99-2.03
Ho 0.7500 0.3756 0.8524  5 N 2.21-2.41
N 0.2500 0.6150 0.8688  3 Ho 2.21-2.41, 2 Ce 2.42
Ce 0.2500 0.1512 0.1733  5 N 2.42-2.68
Ti 0.7500 0.8786 0.4168  4 N 1.99-2.03
N 0.2500 0.1382 0.8344  1 Ti 1.99

***

4.
A plane-wave DFT calculation with PBE was carried out for a relaxed structure of CeHo2TlN.

Calculated values
E_form (uncorrected), eV per atom: -0.842
Crystal system: tetragonal
ρ, Mg/m³: 10.021
M_tot, μB/cell: 0.8
Electronic total energy, eV per formula unit: -30.0

abc: 4.8620 4.8437 4.8437
angles: 90.00 90.00 90.00
With the nearest neighbours (Å) after each atom.
Fractional coordinates of all 5 atoms:
Ho 0.0000 0.0000 0.5000  2 N 2.42
Ce 0.5000 0.0000 0.0000  2 N 2.43
N 0.0000 0.0000 0.0000  4 Ho 2.42, 2 Ce 2.43
Tl 0.5000 0.5000 0.5000  4 Ce 3.43, 8 Ho 3.43
Ho 0.0000 0.5000 0.0000  2 N 2.42

***

5.
A plane-wave DFT calculation with PBE was carried out for a relaxed structure of Ce2HoTlN.

Calculated values
E_form (uncorrected), eV per atom: -0.791
Crystal system: tetragonal
ρ, Mg/m³: 9.395
M_tot, μB/cell: 1.6
Electronic total energy, eV per formula unit: -31.1

abc: 4.8746 4.9050 4.9050
angles: 90.00 90.00 90.00
With the nearest neighbours (Å) after each atom.
Fractional coordinates of all 5 atoms:
Ho 0.5000 0.0000 0.0000  2 N 2.44
Tl 0.5000 0.5000 0.5000  8 Ce 3.46, 4 Ho 3.47
Ce 0.0000 0.0000 0.5000  2 N 2.45
Ce 0.0000 0.5000 0.0000  2 N 2.45
N 0.0000 0.0000 0.0000  2 Ho 2.44, 4 Ce 2.45

***

6.
A plane-wave DFT calculation with PBE was carried out for a relaxed structure of CeHo2TmN4.

Calculated values
E_form (uncorrected), eV per atom: -1.690
Crystal system: monoclinic
ρ, Mg/m³: 9.801
M_tot, μB/cell: 0.1
Electronic total energy, eV per formula unit: -66.4

abc: 3.4702 5.9954 5.9959
angles: 109.29 90.00 90.00
With the nearest neighbours (Å) after each atom.
Fractional coordinates of all 8 atoms:
Ho 0.5000 0.0000 0.5000  6 N 2.45
Ho 0.0000 0.5000 0.5000  6 N 2.46
N 0.0000 0.7527 0.2503  1 Tm 2.43, 3 Ho 2.45-2.46, 2 Ce 2.46
N 0.0000 0.2473 0.7497  1 Tm 2.43, 3 Ho 2.45-2.46, 2 Ce 2.46
Tm 0.0000 0.0000 0.0000  6 N 2.43-2.44
N 0.5000 0.2487 0.2468  1 Ce 2.44, 2 Tm 2.44, 3 Ho 2.45-2.46
Ce 0.5000 0.5000 0.0000  6 N 2.44-2.46
N 0.5000 0.7513 0.7532  1 Ce 2.44, 2 Tm 2.44, 3 Ho 2.45-2.46

***

7.
A plane-wave DFT calculation with PBE was carried out for a relaxed structure of Ce2Ho3UN6.

Calculated values
E_form (uncorrected), eV per atom: -1.590
Crystal system: monoclinic
ρ, Mg/m³: 10.178
M_tot, μB/cell: 0.0
Electronic total energy, eV per formula unit: -105.9

abc: 6.0306 6.0306 6.0254
angles: 99.59 99.59 119.97
With the nearest neighbours (Å) after each atom.
Fractional coordinates of all 12 atoms:
Ho 0.5000 0.5000 0.5000  6 N 2.43-2.59
Ho 0.8326 0.1674 0.5000  6 N 2.43-2.57
Ce 0.6665 0.3335 0.0000  6 N 2.50
Ho 0.1674 0.8326 0.5000  6 N 2.43-2.57
N 0.2307 0.2307 0.7558  1 U 2.34, 3 Ho 2.44-2.59, 2 Ce 2.50
N 0.3956 0.0822 0.2463  1 U 2.35, 3 Ho 2.43-2.57, 2 Ce 2.50
N 0.7693 0.7693 0.2442  1 U 2.34, 3 Ho 2.44-2.59, 2 Ce 2.50
N 0.6044 0.9178 0.7537  1 U 2.35, 3 Ho 2.43-2.57, 2 Ce 2.50
N 0.9178 0.6044 0.7537  1 U 2.35, 3 Ho 2.43-2.57, 2 Ce 2.50
Ce 0.3335 0.6665 0.0000  6 N 2.50
U 0.0000 0.0000 0.0000  6 N 2.34-2.35
N 0.0822 0.3956 0.2463  1 U 2.35, 3 Ho 2.43-2.57, 2 Ce 2.50

***

8.
A plane-wave DFT calculation with PBE was carried out for a relaxed structure of Ce3Ho2UN6.

Calculated values
E_form (uncorrected), eV per atom: -1.572
Crystal system: monoclinic
ρ, Mg/m³: 9.797
M_tot, μB/cell: 0.0
Electronic total energy, eV per formula unit: -107.1

abc: 6.0173 6.0173 6.1311
angles: 99.42 99.42 119.96
With the nearest neighbours (Å) after each atom.
Fractional coordinates of all 12 atoms:
Ce 0.1685 0.8315 0.5000  6 N 2.51-2.63
N 0.3898 0.0760 0.2272  1 U 2.30, 2 Ho 2.45, 2 Ce 2.51
Ho 0.3335 0.6665 0.0000  6 N 2.45-2.46
N 0.2376 0.2376 0.7706  1 U 2.31, 2 Ho 2.46, 2 Ce 2.52
Ce 0.8315 0.1685 0.5000  6 N 2.51-2.63
Ho 0.6665 0.3335 0.0000  6 N 2.45-2.46
N 0.7624 0.7624 0.2294  1 U 2.31, 2 Ho 2.46, 2 Ce 2.52
Ce 0.5000 0.5000 0.5000  6 N 2.51-2.64
N 0.9240 0.6102 0.7728  1 U 2.30, 2 Ho 2.45, 2 Ce 2.51
N 0.0760 0.3898 0.2272  1 U 2.30, 2 Ho 2.45, 2 Ce 2.51
N 0.6102 0.9240 0.7728  1 U 2.30, 2 Ho 2.45, 2 Ce 2.51
U 0.0000 0.0000 0.0000  6 N 2.30-2.31

***

9.
A plane-wave DFT calculation with PBE was carried out for a relaxed structure of CeHo2VN4.

Calculated values
E_form (uncorrected), eV per atom: -1.386
Crystal system: orthorhombic
ρ, Mg/m³: 8.366
M_tot, μB/cell: 1.3
Electronic total energy, eV per formula unit: -68.6

abc: 3.3651 6.0523 11.7069
angles: 90.00 90.00 106.14
With the nearest neighbours (Å) after each atom.
Fractional coordinates of all 16 atoms:
Ce 0.9113 0.8225 0.2500  6 N 2.52-2.80
N 0.7345 0.4690 0.6257  1 V 1.81
N 0.2655 0.5310 0.3743  1 V 1.81
Ho 0.6296 0.2593 0.0423  6 N 2.31-2.52
Ce 0.0887 0.1775 0.7500  6 N 2.52-2.80
Ho 0.3704 0.7407 0.9577  6 N 2.31-2.52
N 0.0000 0.0000 0.0000  4 Ho 2.31
Ho 0.6296 0.2593 0.4577  6 N 2.31-2.52
N 0.7345 0.4690 0.8743  1 V 1.81
N 0.4269 0.8538 0.7500  2 V 2.04
N 0.2655 0.5310 0.1257  1 V 1.81
V 0.1725 0.3450 0.2500  2 N 1.81
N 0.0000 0.0000 0.5000  4 Ho 2.31
Ho 0.3704 0.7407 0.5423  6 N 2.31-2.52
V 0.8275 0.6550 0.7500  2 N 1.81
N 0.5731 0.1462 0.2500  2 V 2.04

***

10.
A plane-wave DFT calculation with PBE was carried out for a relaxed structure of Ce2YHoN4.

Calculated values
E_form (uncorrected), eV per atom: -1.600
Crystal system: monoclinic
ρ, Mg/m³: 7.966
M_tot, μB/cell: 0.5
Electronic total energy, eV per formula unit: -69.0

abc: 3.5156 6.0885 6.0949
angles: 109.45 90.00 90.00
With the nearest neighbours (Å) after each atom.
Fractional coordinates of all 8 atoms:
Y 0.0000 0.0000 0.0000  6 N 2.48
N 0.0000 0.2523 0.7527  2 Ho 2.47, 1 Y 2.48, 3 Ce 2.49-2.50
N 0.5000 0.2509 0.2483  1 Ho 2.47, 2 Y 2.48, 3 Ce 2.49-2.50
Ce 0.0000 0.5000 0.5000  6 N 2.49
Ce 0.5000 0.0000 0.5000  6 N 2.50
N 0.5000 0.7491 0.7517  1 Ho 2.47, 2 Y 2.48, 3 Ce 2.49-2.50
Ho 0.5000 0.5000 0.0000  6 N 2.47
N 0.0000 0.7477 0.2473  2 Ho 2.47, 1 Y 2.48, 3 Ce 2.49-2.50

***

11.
A plane-wave DFT calculation with PBE was carried out for a relaxed structure of CeY2HoN4.

Calculated values
E_form (uncorrected), eV per atom: -1.654
Crystal system: monoclinic
ρ, Mg/m³: 7.435
M_tot, μB/cell: 0.1
Electronic total energy, eV per formula unit: -70.0

abc: 3.4964 6.0394 6.0395
angles: 109.31 90.00 90.00
With the nearest neighbours (Å) after each atom.
Fractional coordinates of all 8 atoms:
N 0.0000 0.7503 0.2485  1 Ho 2.45, 2 Ce 2.47, 3 Y 2.47
Y 0.5000 0.0000 0.5000  6 N 2.47-2.48
N 0.0000 0.2497 0.7515  1 Ho 2.45, 2 Ce 2.47, 3 Y 2.47
N 0.5000 0.7498 0.7537  1 Ce 2.44, 2 Ho 2.46, 3 Y 2.48
Ho 0.0000 0.0000 0.0000  6 N 2.45-2.46
Ce 0.5000 0.5000 0.0000  6 N 2.44-2.47
N 0.5000 0.2502 0.2463  1 Ce 2.44, 2 Ho 2.46, 3 Y 2.48
Y 0.0000 0.5000 0.5000  6 N 2.47-2.48

***

12.
A plane-wave DFT calculation with PBE was carried out for a relaxed structure of CeYHoN3.

Calculated values
E_form (uncorrected), eV per atom: -1.427
Crystal system: monoclinic
ρ, Mg/m³: 7.835
M_tot, μB/cell: 1.8
Electronic total energy, eV per formula unit: -50.5

abc: 3.4630 6.0042 9.0761
angles: 101.70 90.00 90.00
With the nearest neighbours (Å) after each atom.
Fractional coordinates of all 12 atoms:
Ho 0.2500 0.1444 0.6383  5 N 2.29-2.48
N 0.7500 0.2555 0.5018  3 Ho 2.30-2.48
N 0.2500 0.4596 0.8286  1 Ho 2.29, 1 Y 2.42, 2 Ce 2.53
Ho 0.7500 0.8556 0.3617  5 N 2.29-2.48
Ce 0.2500 0.3454 0.3044  7 N 2.53-2.67
Y 0.7500 0.2304 0.9542  6 N 2.36-2.61
N 0.2500 0.7445 0.4982  3 Ho 2.30-2.48
Y 0.2500 0.7696 0.0458  6 N 2.36-2.61
N 0.7500 0.5404 0.1714  1 Ho 2.29, 1 Y 2.42, 2 Ce 2.53
N 0.7500 0.0416 0.1581  1 Ho 2.35, 3 Y 2.36-2.46
Ce 0.7500 0.6546 0.6956  7 N 2.53-2.67
N 0.2500 0.9584 0.8419  1 Ho 2.35, 3 Y 2.36-2.46